[1]
BeSbRh: PBEsol geometry, meta-GGA SCAN.

```
BeSbRh
1.0
3.9675 0.0000 0.0000
-1.9837 3.4359 0.0000
0.0000 0.0000 3.3692
Be Sb Rh
1 1 1
Direct
0.0000 0.0000 0.0000
0.3333 0.6667 0.5000
0.6667 0.3333 0.0000
```

Properties
Density of states at the Fermi level ... 1.41 states/eV/cell
Crystal system ... hexagonal
Theoretical density ... 8.45 g/cm³
Energy relative to the elements, uncorrected ... -0.13 eV/atom

---

[2]
BeSbRh2: PBEsol geometry, meta-GGA SCAN.

```
BeSbRh2
1.0
3.1662 0.0000 0.0000
0.0000 3.1662 0.0000
0.0000 0.0000 5.8066
Be Sb Rh
1 1 2
Direct
0.0000 0.0000 0.0000
0.5000 0.5000 0.6449
0.0000 0.0000 0.4122
0.5000 0.5000 0.0887
```

Properties
Density of states at the Fermi level ... 2.47 states/eV/cell
Crystal system ... tetragonal
Theoretical density ... 9.60 g/cm³
Energy relative to the elements, uncorrected ... -0.30 eV/atom

---

[3]
ScBe4Rh: PBEsol geometry, meta-GGA SCAN.

```
ScBe4Rh
1.0
0.0000 3.1581 3.1581
3.1581 0.0000 3.1581
3.1581 3.1581 0.0000
Sc Be Rh
1 4 1
Direct
0.0000 0.0000 0.0000
0.3767 0.3767 0.3767
0.3767 0.3767 0.8700
0.3767 0.8700 0.3767
0.8700 0.3767 0.3767
0.7500 0.7500 0.7500
```

Properties
Crystal system ... cubic
Energy of formation from the pure elements ... -602.4 meV per atom
Theoretical density ... 4.85 g/cm³

---

Number 3 is which compound?
ScBe4Rh

---

Among the records above, which one has the lowest theoretical density?
ScBe4Rh

---

Among the records above, which one has the highest theoretical density?
BeSbRh2

---

Which value of theoretical density does entry 2 give?
9.60 g/cm³